Record 1
This record from Alexandria via LeMat-Bulk describes an optimized crystal structure of Zn3Rh4Pb. The functional is PBE.

D(E_F) = 2.7 states/eV per cell
E_form = -2.43 eV/f.u.
Final energy = -4.921 eV/atom

abc: 7.6984 7.6984 7.6984
angles: 32.98 32.98 32.98
Positions (direct):
Zn1 0.0000 0.0000 0.0000
Zn2 0.2557 0.2557 0.2557
Zn3 0.7443 0.7443 0.7443
Rh1 0.1208 0.1208 0.1208
Rh2 0.3734 0.3734 0.3734
Rh3 0.6266 0.6266 0.6266
Rh4 0.8792 0.8792 0.8792
Pb1 0.5000 0.5000 0.5000

=====

Record 2
This record from Alexandria via LeMat-Bulk describes an optimized crystal structure of Tb6Pm3TmSc2. The functional is PBE.

D(E_F) = 17.1 states/eV per cell
E_form = 0.47 eV/f.u.
Final energy = -4.892 eV/atom

abc: 6.1259 6.1259 11.6550
angles: 95.03 95.03 119.99
Positions (direct):
Tb1 0.0835 0.4193 0.7591
Tb2 0.2448 0.2448 0.2409
Tb3 0.4193 0.0835 0.7591
Tb4 0.5807 0.9165 0.2409
Tb5 0.7552 0.7552 0.7591
Tb6 0.9165 0.5807 0.2409
Pm1 0.0000 0.0000 0.5000
Pm2 0.3332 0.6668 0.5000
Pm3 0.6668 0.3332 0.5000
Tm1 0.5000 0.5000 0.0000
Sc1 0.1667 0.8333 0.0000
Sc2 0.8333 0.1667 0.0000

=====

- Which of these has the lowest E_form?
  Zn3Rh4Pb

=====

- Which formula does entry 1 have?
  Zn3Rh4Pb

=====

- Look up the D(E_F) of the first one.
  2.7 states/eV per cell

=====

Please write out number 2 again, unchanged.
This record from Alexandria via LeMat-Bulk describes an optimized crystal structure of Tb6Pm3TmSc2. The functional is PBE.

D(E_F) = 17.1 states/eV per cell
E_form = 0.47 eV/f.u.
Final energy = -4.892 eV/atom

abc: 6.1259 6.1259 11.6550
angles: 95.03 95.03 119.99
Positions (direct):
Tb1 0.0835 0.4193 0.7591
Tb2 0.2448 0.2448 0.2409
Tb3 0.4193 0.0835 0.7591
Tb4 0.5807 0.9165 0.2409
Tb5 0.7552 0.7552 0.7591
Tb6 0.9165 0.5807 0.2409
Pm1 0.0000 0.0000 0.5000
Pm2 0.3332 0.6668 0.5000
Pm3 0.6668 0.3332 0.5000
Tm1 0.5000 0.5000 0.0000
Sc1 0.1667 0.8333 0.0000
Sc2 0.8333 0.1667 0.0000